No. 1
Crystalline SiTcAu2 at its relaxed geometry, computed with PBE.

Output
* SG: Cm, No. 8
* M_tot: 0.00 μB per atom
* D(E_F): 2.1 states/eV/cell
* total DFT energy (no corrections): -5.434 eV/atom

```
SiTcAu2
1.0
4.503 -1.522 0.000
4.503 1.522 0.000
-1.753 0.000 4.755
Si Tc Au
1 1 2
Cartesian
0.000 0.000 0.000
6.373 0.000 0.421
1.404 0.000 3.112
3.848 0.000 1.998
```

***

No. 2
Crystalline SiTc2Au at its relaxed geometry, computed with PBE.

Output
* SG: R3m, No. 160
* M_tot: 0.00 μB per atom
* D(E_F): 2.0 states/eV/cell
* total DFT energy (no corrections): -7.295 eV/atom

```
SiTc2Au
1.0
1.412 0.815 8.794
-1.412 0.815 8.794
0.000 -1.630 8.794
Si Tc Au
1 2 1
Cartesian
0.000 0.000 0.000
0.000 0.000 12.879
0.000 0.000 19.610
0.000 0.000 6.548
```

***

No. 3
Crystalline SiTc2Au at its relaxed geometry, computed with PBE.

Output
* SG: P4/mmm, No. 123
* M_tot: 0.00 μB per atom
* D(E_F): 3.0 states/eV/cell
* total DFT energy (no corrections): -7.424 eV/atom

```
SiTc2Au
1.0
2.965 0.000 0.000
0.000 2.965 0.000
0.000 0.000 6.707
Si Tc Au
1 2 1
Cartesian
0.000 0.000 0.000
1.482 1.482 1.386
1.482 1.482 5.321
0.000 0.000 3.353
```

***

No. 4
Crystalline Si2Tc2Au at its relaxed geometry, computed with PBE.

Output
* SG: P4/mbm, No. 127
* M_tot: 0.00 μB per atom
* D(E_F): 5.6 states/eV/cell
* E above lowest polymorph: 0.000 eV per atom

```
Si2Tc2Au
1.0
6.944 0.000 0.000
0.000 6.944 0.000
0.000 0.000 2.990
Si Tc Au
4 4 2
Cartesian
0.960 2.511 0.000
2.511 5.983 0.000
4.432 0.960 0.000
5.983 4.432 0.000
1.070 4.542 1.495
2.402 1.070 1.495
4.542 5.874 1.495
5.874 2.402 1.495
0.000 0.000 0.000
3.472 3.472 0.000
```

***

No. 5
Crystalline SiTc2Au at its relaxed geometry, computed with PBE.

Output
* SG: Cmmm, No. 65
* M_tot: 0.00 μB per atom
* D(E_F): 4.5 states/eV/cell
* total DFT energy (no corrections): -7.172 eV/atom

```
SiTc2Au
1.0
1.532 -2.301 0.000
1.532 2.301 0.000
0.000 0.000 8.589
Si Tc Au
1 2 1
Cartesian
0.000 0.000 0.000
1.532 0.000 1.876
1.532 0.000 6.713
0.000 0.000 4.294
```

***

No. 6
Crystalline SiTcAu2 at its relaxed geometry, computed with PBE.

Output
* SG: P4/mmm, No. 123
* M_tot: 0.24 μB per atom
* D(E_F): 3.6 states/eV/cell
* total DFT energy (no corrections): -5.119 eV/atom

```
SiTcAu2
1.0
3.148 0.000 0.000
0.000 3.148 0.000
0.000 0.000 6.581
Si Tc Au
1 1 2
Cartesian
0.000 0.000 0.000
0.000 0.000 3.290
1.574 1.574 1.538
1.574 1.574 5.043
```

***

What is the formula in the second record? SiTc2Au